Sc5CdPt6: relaxed, PBE-GGA.

VASP energy: -6.8670 eV/atom
DOS(E_F): 6.1 states/eV/cell
V: 215 Å³ per cell
Formation energy: -1.1322 eV/atom

Lattice parameters (Å, degrees): 4.6594 6.6005 8.0757 114.12 106.80 90.00
Last column: nearest neighbours and their distance in Å.
Fractional positions:
Sc  0.6573  0.1577  0.3154  8 Pt 2.83-2.90
Sc  0.3325  0.3317  0.6634  8 Pt 2.79-2.82
Sc  0.0000  0.5000  0.0000  8 Pt 2.78-2.91
Sc  0.6675  0.6683  0.3366  8 Pt 2.79-2.82
Sc  0.3427  0.8423  0.6846  8 Pt 2.83-2.90
Pt  0.8259  0.5660  0.6510  7 Sc 2.79-2.91, 1 Cd 2.98
Pt  0.8259  0.0849  0.6510  7 Sc 2.79-2.91, 1 Cd 2.98
Pt  0.5000  0.7288  0.0000  6 Sc 2.78-2.84, 2 Cd 2.94, 1 Pt 3.02
Pt  0.5000  0.2712  0.0000  6 Sc 2.78-2.84, 2 Cd 2.94, 1 Pt 3.02
Pt  0.1741  0.9151  0.3490  7 Sc 2.79-2.91, 1 Cd 2.98
Pt  0.1741  0.4340  0.3490  7 Sc 2.79-2.91, 1 Cd 2.98
Cd  0.0000  0.0000  0.0000  8 Pt 2.94-2.98, 4 Sc 3.21

***

Sc2CdPt: relaxed, PBE-GGA.

VASP energy: -5.4689 eV/atom
DOS(E_F): 4.0 states/eV/cell
V: 90 Å³ per cell
Formation energy: -0.5641 eV/atom

Lattice parameters (Å, degrees): 8.2601 8.2601 8.2601 25.23 25.23 25.23
Last column: nearest neighbours and their distance in Å.
Fractional positions:
Cd  0.2500  0.2500  0.2500  6 Sc 3.11
Pt  0.7500  0.7500  0.7500  6 Sc 2.68
Sc  0.0131  0.0131  0.0131  3 Pt 2.68
Sc  0.4869  0.4869  0.4869  3 Pt 2.68

***

Sc2CdPt: relaxed, PBE-GGA.

VASP energy: -5.2768 eV/atom
DOS(E_F): 10.3 states/eV/cell
V: 178 Å³ per cell
Formation energy: -0.3720 eV/atom

Lattice parameters (Å, degrees): 7.7104 7.7104 6.2220 51.71 51.71 90.00
Last column: nearest neighbours and their distance in Å.
Fractional positions:
Sc  0.6712  0.1250  0.2500  2 Pt 2.60
Sc  0.0788  0.6250  0.2500  2 Pt 2.60
Sc  0.3750  0.3288  0.7500  2 Pt 2.60
Sc  0.8750  0.9212  0.7500  2 Pt 2.60
Pt  0.0000  0.0000  0.0000  4 Sc 2.60
Pt  0.7500  0.2500  0.5000  4 Sc 2.60
Cd  0.5000  0.5000  0.0000  2 Pt 3.00, 8 Sc 3.08-3.35
Cd  0.2500  0.7500  0.5000  2 Pt 3.00, 8 Sc 3.08-3.35

***

Sc2CdPt: relaxed, PBE-GGA.

VASP energy: -5.0085 eV/atom
DOS(E_F): 4.1 states/eV/cell
V: 100 Å³ per cell
Formation energy: -0.1037 eV/atom

Lattice parameters (Å, degrees): 7.5199 7.5199 7.5199 41.45 151.05 150.99
Last column: nearest neighbours and their distance in Å.
Fractional positions:
Sc  0.0000  0.3192  0.3192  1 Pt 2.54
Sc  0.0000  0.6808  0.6808  1 Pt 2.54
Cd  0.0000  0.0000  0.0000  4 Pt 2.66
Pt  0.0000  0.5000  0.5000  2 Sc 2.54, 4 Cd 2.66

***

Sc5CdPt: relaxed, PBE-GGA.

VASP energy: -5.8496 eV/atom
DOS(E_F): 20.4 states/eV/cell
V: 315 Å³ per cell
Formation energy: -0.3334 eV/atom

Lattice parameters (Å, degrees): 5.3502 5.3502 11.3530 80.60 80.60 83.77
Last column: nearest neighbours and their distance in Å.
Fractional positions:
Sc  0.9167  0.5656  0.1234  1 Pt 2.55
Sc  0.2040  0.5125  0.5767  1 Pt 2.78, 1 Sc 3.03
Sc  0.5656  0.9167  0.6234  1 Pt 2.55
Sc  0.9834  0.0166  0.2500  2 Pt 2.84, 1 Cd 2.90, 4 Sc 3.06-3.08
Sc  0.4875  0.7960  0.9233  1 Pt 2.78, 1 Sc 3.03
Sc  0.5125  0.2040  0.0767  1 Pt 2.78, 1 Sc 3.03
Sc  0.0166  0.9834  0.7500  2 Pt 2.84, 1 Cd 2.90, 4 Sc 3.06-3.08
Sc  0.4344  0.0833  0.3766  1 Pt 2.55
Sc  0.7960  0.4875  0.4233  1 Pt 2.78, 1 Sc 3.03
Sc  0.0833  0.4344  0.8766  1 Pt 2.55
Cd  0.3895  0.6105  0.2500  7 Sc 2.90-3.16
Cd  0.6105  0.3895  0.7500  7 Sc 2.90-3.16
Pt  0.0000  0.0000  0.0000  6 Sc 2.55-2.84
Pt  0.0000  0.0000  0.5000  6 Sc 2.55-2.84

***

Sc5CdPt4: relaxed, PBE-GGA.

VASP energy: -6.7275 eV/atom
DOS(E_F): 6.5 states/eV/cell
V: 188 Å³ per cell
Formation energy: -1.0539 eV/atom

Lattice parameters (Å, degrees): 3.2860 3.2860 17.4064 90.00 90.00 90.00
Last column: nearest neighbours and their distance in Å.
Fractional positions:
Sc  0.5000  0.5000  0.1184  4 Pt 2.81, 4 Cd 3.11
Sc  0.5000  0.5000  0.3083  8 Pt 2.85-2.90
Sc  0.5000  0.5000  0.5000  8 Pt 2.88
Sc  0.5000  0.5000  0.6917  8 Pt 2.85-2.90
Sc  0.5000  0.5000  0.8816  4 Pt 2.81, 4 Cd 3.11
Cd  0.0000  0.0000  0.0000  8 Sc 3.11, 4 Cd 3.29
Pt  0.0000  0.0000  0.2090  8 Sc 2.81-2.90
Pt  0.0000  0.0000  0.4027  8 Sc 2.85-2.88
Pt  0.0000  0.0000  0.5973  8 Sc 2.85-2.88
Pt  0.0000  0.0000  0.7910  8 Sc 2.81-2.90